# Ta6Mo3Ir

A relaxed structure of Ta6Mo3Ir (PBE-GGA, Alexandria).

Lattice parameters (Å, degrees): 7.9248 4.5858 9.7118 90.00 105.94 90.00
Atoms (fractional coordinates):
Ta (0.0453, 0.2500, 0.3990)
Ta (0.1423, 0.7500, 0.1965)
Ta (0.2492, 0.2500, 0.9964)
Ta (0.3455, 0.7500, 0.8006)
Ta (0.3499, 0.2500, 0.2964)
Ta (0.4455, 0.2500, 0.5995)
Ta (0.5545, 0.7500, 0.4005)
Ta (0.6501, 0.7500, 0.7036)
Ta (0.6545, 0.2500, 0.1994)
Ta (0.7508, 0.7500, 0.0036)
Ta (0.8577, 0.2500, 0.8035)
Ta (0.9547, 0.7500, 0.6010)
Mo (0.0512, 0.7500, 0.9002)
Mo (0.1533, 0.2500, 0.7022)
Mo (0.2527, 0.7500, 0.4984)
Mo (0.7473, 0.2500, 0.5016)
Mo (0.8467, 0.7500, 0.2978)
Mo (0.9488, 0.2500, 0.0998)
Ir (0.4486, 0.7500, 0.0997)
Ir (0.5514, 0.2500, 0.9003)

Calculated values
**Formation enthalpy at 0 K**: -0.271 eV per atom